A plane-wave DFT calculation with meta-GGA SCAN was carried out for a crystal of Cu10Hg2Sb4S13 relaxed with PBEsol.

Theoretical density ... 5.8 g/cm³
Crystal system ... tetragonal
DFT total energy ... -19.639 eV per atom

Cell: 8.9842 8.9842 8.9842 Å, 107.50 110.46 110.46°
Element x y z (fractional)
Cu 0.2682 0.7682 0.5000
Cu 0.2682 0.5000 0.7682
Cu 0.5000 0.2500 0.7500
Cu 0.7318 0.5000 0.2318
Cu 0.7318 0.2318 0.5000
Cu 0.5000 0.7500 0.2500
Cu 0.7793 0.7793 0.0000
Cu 0.2207 0.0000 0.2207
Cu 0.2207 0.2207 0.0000
Cu 0.7793 0.0000 0.7793
Hg 0.0000 0.7585 0.7585
Hg 0.0000 0.2415 0.2415
Sb 0.0000 0.4613 0.0147
Sb 0.0000 0.0147 0.4613
Sb 0.5534 0.5387 0.5387
Sb 0.4466 0.9853 0.9853
S 0.0000 0.0000 0.0000
S 0.0000 0.4774 0.7432
S 0.7460 0.5191 0.9896
S 0.2540 0.7730 0.2436
S 0.0000 0.7432 0.4774
S 0.2540 0.2436 0.7730
S 0.7460 0.9896 0.5191
S 0.2658 0.5226 0.5226
S 0.4706 0.4809 0.2270
S 0.4706 0.2270 0.4809
S 0.7342 0.2568 0.2568
S 0.5294 0.7564 0.0104
S 0.5294 0.0104 0.7564